! CsRuPb3 | the Alexandria database | GGA-PBE | optimized geometry; values from VASP
&SYSTEM
  ibrav = 0, nat = 5, ntyp = 3
/
ATOMIC_SPECIES
Cs 132.91 Cs.upf
Ru 101.07 Ru.upf
Pb 207.20 Pb.upf
CELL_PARAMETERS angstrom
6.1864 0.0000 0.0000
0.0000 6.1864 0.0000
0.0000 0.0000 6.1864
ATOMIC_POSITIONS crystal
Cs 0.0000 0.0000 0.0000
Ru 0.5000 0.5000 0.5000
Pb 0.0000 0.0000 0.5000
Pb 0.0000 0.5000 0.0000
Pb 0.5000 0.0000 0.0000
! Energy above the lowest structure with this stoichiometry ... 181.84 kJ per mole of atoms
! Calculated formation energy ... 2147 meV per atom

! Nd2Al5Ag4 | the Alexandria database | GGA-PBE | optimized geometry; values from VASP
&SYSTEM
  ibrav = 0, nat = 11, ntyp = 3
/
ATOMIC_SPECIES
Nd 144.24 Nd.upf
Al 26.98 Al.upf
Ag 107.87 Ag.upf
CELL_PARAMETERS angstrom
0.0000 4.7785 8.7237
2.7616 0.0000 8.7237
2.7616 4.7785 0.0000
ATOMIC_POSITIONS crystal
Nd 0.1123 0.1123 0.8877
Nd 0.8877 0.8877 0.1123
Al 0.0000 0.0000 0.5000
Al 0.2500 0.2500 0.2500
Al 0.5000 0.5000 0.0000
Al 0.5000 0.5000 0.5000
Al 0.7500 0.7500 0.7500
Ag 0.2063 0.5319 0.4681
Ag 0.4681 0.7937 0.2063
Ag 0.5319 0.2063 0.7937
Ag 0.7937 0.4681 0.5319
! Energy above the lowest structure with this stoichiometry ... 1.72 kJ per mole of atoms
! Calculated formation energy ... -288 meV per atom

Question: Look up the calculated formation energy of the first one.
Answer: 2147 meV per atom

Question: What is the calculated formation energy in the second record?
Answer: -288 meV per atom

Question: Among the records above, which one has the highest calculated formation energy?
Answer: CsRuPb3

Question: Which of these has the lowest calculated formation energy?
Answer: Nd2Al5Ag4